1.
A relaxed LaBr3F crystal, computed with PBE-GGA.

Values from the calculation:
The total magnetization comes out at 1.0 μB/cell. The value obtained for the formation energy without anion corrections is -921 meV/atom. The calculation puts the total energy at -3.28 eV/atom.

```
data_LaBr3F
_cell_length_a 5.028
_cell_length_b 5.028
_cell_length_c 5.028
_cell_angle_alpha 90.00
_cell_angle_beta 90.00
_cell_angle_gamma 90.00
_symmetry_space_group_name_H-M 'P m -3 m'
_symmetry_Int_Tables_number 221
_symmetry_space_group_name_Hall '-P 4 2 3'
loop_
_atom_site_label
_atom_site_type_symbol
_atom_site_fract_x
_atom_site_fract_y
_atom_site_fract_z
La1 La 0.000 0.000 0.000
Br1 Br 0.000 0.500 0.500
F1 F 0.500 0.500 0.500
```

***

2.
A relaxed LaBr3F crystal, computed with PBE-GGA.

Values from the calculation:
The total magnetization comes out at 1.0 μB/cell. The value obtained for the formation energy without anion corrections is -1375 meV/atom. The calculation puts the total energy at -3.74 eV/atom.

```
data_LaBr3F
_cell_length_a 5.854
_cell_length_b 5.854
_cell_length_c 5.854
_cell_angle_alpha 90.00
_cell_angle_beta 90.00
_cell_angle_gamma 90.00
_symmetry_space_group_name_H-M 'P m -3 m'
_symmetry_Int_Tables_number 221
_symmetry_space_group_name_Hall '-P 4 2 3'
loop_
_atom_site_label
_atom_site_type_symbol
_atom_site_fract_x
_atom_site_fract_y
_atom_site_fract_z
La1 La 0.000 0.000 0.000
Br1 Br 0.000 0.000 0.500
F1 F 0.500 0.500 0.500
```

***

3.
A relaxed La2BrF2 crystal, computed with PBE-GGA.

Values from the calculation:
The total magnetization comes out at 1.9 μB/cell. The value obtained for the formation energy without anion corrections is -2405 meV/atom. The calculation puts the total energy at -5.46 eV/atom.

```
data_La2BrF2
_cell_length_a 3.769
_cell_length_b 3.769
_cell_length_c 14.967
_cell_angle_alpha 90.00
_cell_angle_beta 90.00
_cell_angle_gamma 90.00
_symmetry_space_group_name_H-M 'I 4/m m m'
_symmetry_Int_Tables_number 139
_symmetry_space_group_name_Hall '-I 4 2'
loop_
_atom_site_label
_atom_site_type_symbol
_atom_site_fract_x
_atom_site_fract_y
_atom_site_fract_z
La1 La 0.000 0.000 0.133
Br1 Br 0.000 0.000 0.500
F1 F 0.000 0.500 0.250
```

***

4.
A relaxed LaBrO2F crystal, computed with PBE-GGA.

Values from the calculation:
The total magnetization comes out at 0.3 μB/cell. The value obtained for the formation energy without anion corrections is -1078 meV/atom. The calculation puts the total energy at -4.76 eV/atom.

```
data_LaBrO2F
_cell_length_a 4.083
_cell_length_b 4.083
_cell_length_c 4.954
_cell_angle_alpha 90.00
_cell_angle_beta 90.00
_cell_angle_gamma 90.00
_symmetry_space_group_name_H-M 'P 4/m m m'
_symmetry_Int_Tables_number 123
_symmetry_space_group_name_Hall '-P 4 2'
loop_
_atom_site_label
_atom_site_type_symbol
_atom_site_fract_x
_atom_site_fract_y
_atom_site_fract_z
La1 La 0.000 0.000 0.000
Br1 Br 0.500 0.500 0.500
O1 O 0.000 0.500 0.500
F1 F 0.500 0.500 0.000
```

***

5.
A relaxed LaBrO2F crystal, computed with PBE-GGA.

Values from the calculation:
The total magnetization comes out at 3.0 μB/cell. The value obtained for the formation energy without anion corrections is -1572 meV/atom. The calculation puts the total energy at -5.25 eV/atom.

```
data_LaBrO2F
_cell_length_a 4.820
_cell_length_b 4.820
_cell_length_c 4.587
_cell_angle_alpha 90.00
_cell_angle_beta 90.00
_cell_angle_gamma 90.00
_symmetry_space_group_name_H-M 'P 4/m m m'
_symmetry_Int_Tables_number 123
_symmetry_space_group_name_Hall '-P 4 2'
loop_
_atom_site_label
_atom_site_type_symbol
_atom_site_fract_x
_atom_site_fract_y
_atom_site_fract_z
La1 La 0.000 0.000 0.000
Br1 Br 0.500 0.500 0.500
O1 O 0.000 0.500 0.000
F1 F 0.000 0.000 0.500
```

***

6.
A relaxed La8Os3Br4F crystal, computed with PBE-GGA.

Values from the calculation:
The total magnetization comes out at 0.0 μB/cell. The value obtained for the formation energy without anion corrections is -1121 meV/atom. The calculation puts the total energy at -6.23 eV/atom.

```
data_La8Os3Br4F
_cell_length_a 14.412
_cell_length_b 8.325
_cell_length_c 9.242
_cell_angle_alpha 90.00
_cell_angle_beta 121.27
_cell_angle_gamma 90.00
_symmetry_space_group_name_H-M 'C 1 2/m 1'
_symmetry_Int_Tables_number 12
loop_
_symmetry_equiv_pos_as_xyz
'x,y,z'
'-x,-y,-z'
'-x,y,-z'
'x,-y,z'
'x+1/2,y+1/2,z'
'-x+1/2,-y+1/2,-z'
'-x+1/2,y+1/2,-z'
'x+1/2,-y+1/2,z'
loop_
_atom_site_label
_atom_site_type_symbol
_atom_site_fract_x
_atom_site_fract_y
_atom_site_fract_z
La1 La 0.021 0.242 0.305
La2 La 0.234 0.000 0.701
La3 La 0.237 0.500 0.694
Os1 Os 0.000 0.000 0.500
Os2 Os 0.250 0.250 0.500
Br1 Br 0.000 0.000 0.000
Br2 Br 0.000 0.500 0.000
Br3 Br 0.250 0.250 0.000
F1 F 0.000 0.500 0.500
```